The following is a DFT calculation (PBE) of Sr2Tl4In after structural relaxation.

Output
calculated formation energy	-0.1405	eV/atom
density of states at the Fermi level	18.4	states/eV/cell
size of the total moment	0.0	μB per cell

Structure (CIF):
```
data_Sr2Tl4In
_chemical_formula_sum 'Sr8 Tl16 In4'
_cell_length_a 13.340
_cell_length_b 6.358
_cell_length_c 11.290
_cell_angle_alpha 90.00
_cell_angle_beta 90.00
_cell_angle_gamma 90.00
_space_group_name_H-M_alt 'C m c e'
_space_group_IT_number 64
_space_group_name_Hall '-C 2ac 2'
loop_
_atom_site_label
_atom_site_fract_x
_atom_site_fract_y
_atom_site_fract_z
Sr1 0.143 0.000 0.000
Tl1 0.000 0.249 0.250
Tl2 0.250 0.248 0.750
In1 0.000 0.000 0.500
```

=====

The following is a DFT calculation (PBE) of Tb3YEr12 after structural relaxation.

Output
calculated formation energy	0.0217	eV/atom
density of states at the Fermi level	20.9	states/eV/cell
size of the total moment	0.0	μB per cell

Structure (CIF):
```
data_Tb3YEr12
_chemical_formula_sum 'Tb3 Y1 Er12'
_cell_length_a 4.980
_cell_length_b 4.980
_cell_length_c 19.917
_cell_angle_alpha 90.00
_cell_angle_beta 90.00
_cell_angle_gamma 90.00
_space_group_name_H-M_alt 'P 4/m m m'
_space_group_IT_number 123
_space_group_name_Hall '-P 4 2'
loop_
_atom_site_label
_atom_site_fract_x
_atom_site_fract_y
_atom_site_fract_z
Tb1 0.000 0.000 0.000
Tb2 0.000 0.000 0.250
Y1 0.000 0.000 0.500
Er1 0.000 0.500 0.125
Er2 0.000 0.500 0.375
Er3 0.500 0.500 0.000
Er4 0.500 0.500 0.250
Er5 0.500 0.500 0.500
```

=====

The following is a DFT calculation (PBE) of Cd2InRuO6 after structural relaxation.

Output
density of states at the Fermi level	4.6	states/eV/cell
formation energy without anion corrections	-8.567	eV/f.u.
size of the total moment	0.0	μB per cell

Structure (CIF):
```
data_Cd2InRuO6
_chemical_formula_sum 'Cd2 In1 Ru1 O6'
_cell_length_a 5.445
_cell_length_b 5.445
_cell_length_c 5.061
_cell_angle_alpha 90.00
_cell_angle_beta 90.00
_cell_angle_gamma 90.00
_space_group_name_H-M_alt 'P 4 m m'
_space_group_IT_number 99
_space_group_name_Hall 'P 4 -2'
loop_
_atom_site_label
_atom_site_fract_x
_atom_site_fract_y
_atom_site_fract_z
Cd1 0.000 0.500 0.000
In1 0.000 0.000 0.575
Ru1 0.500 0.500 0.602
O1 0.000 0.000 0.171
O2 0.265 0.265 0.739
O3 0.500 0.500 0.257
```

=====

The following is a DFT calculation (PBE) of GdZrFe4 after structural relaxation.

Output
calculated formation energy	-0.1584	eV/atom
density of states at the Fermi level	15.0	states/eV/cell
size of the total moment	2.2	μB per cell

Structure (CIF):
```
data_GdZrFe4
_chemical_formula_sum 'Gd4 Zr4 Fe16'
_cell_length_a 7.176
_cell_length_b 7.176
_cell_length_c 7.176
_cell_angle_alpha 90.00
_cell_angle_beta 90.00
_cell_angle_gamma 90.00
_space_group_name_H-M_alt 'F -4 3 m'
_space_group_IT_number 216
_space_group_name_Hall 'F -4 2 3'
loop_
_atom_site_label
_atom_site_fract_x
_atom_site_fract_y
_atom_site_fract_z
Gd1 0.000 0.000 0.000
Zr1 0.250 0.250 0.250
Fe1 0.125 0.125 0.625
```

=====

The following is a DFT calculation (PBE) of DyGeCl5 after structural relaxation.

Output
density of states at the Fermi level	0.0	states/eV/cell
formation energy without anion corrections	-11.098	eV/f.u.
size of the total moment	0.0	μB per cell

Structure (CIF):
```
data_DyGeCl5
_chemical_formula_sum 'Dy4 Ge4 Cl20'
_cell_length_a 10.225
_cell_length_b 9.671
_cell_length_c 10.242
_cell_angle_alpha 90.00
_cell_angle_beta 116.38
_cell_angle_gamma 90.00
_space_group_name_H-M_alt 'C 1 2/c 1'
_space_group_IT_number 15
_space_group_name_Hall '-C 2yc'
loop_
_atom_site_label
_atom_site_fract_x
_atom_site_fract_y
_atom_site_fract_z
Dy1 0.250 0.250 0.000
Ge1 0.000 0.083 0.250
Cl1 0.000 0.249 0.750
Cl2 0.098 0.268 0.155
Cl3 0.234 0.020 0.499
```

=====

The following is a DFT calculation (PBE) of Cs2NaSn10 after structural relaxation.

Output
calculated formation energy	-0.0310	eV/atom
density of states at the Fermi level	7.4	states/eV/cell
size of the total moment	0.0	μB per cell

Structure (CIF):
```
data_Cs2NaSn10
_chemical_formula_sum 'Cs4 Na2 Sn20'
_cell_length_a 11.649
_cell_length_b 14.340
_cell_length_c 6.594
_cell_angle_alpha 90.00
_cell_angle_beta 90.00
_cell_angle_gamma 90.00
_space_group_name_H-M_alt 'P b a m'
_space_group_IT_number 55
_space_group_name_Hall '-P 2 2ab'
loop_
_atom_site_label
_atom_site_fract_x
_atom_site_fract_y
_atom_site_fract_z
Cs1 0.149 0.151 0.000
Na1 0.000 0.000 0.500
Sn1 0.120 0.294 0.500
Sn2 0.137 0.733 0.500
Sn3 0.139 0.506 0.500
Sn4 0.201 0.896 0.227
```